Density functional theory data (PBE) for InCoSe2 after structural relaxation.

a = 3.761 Å, b = 7.333 Å, c = 3.706 Å
α = 90.00°, β = 90.00°, γ = 90.00°
Last column: magnetic moment on the atom in μB.
Element x y z (fractional)
Se1 0.000 0.000 0.000  0.10
Se2 0.500 0.500 0.000  0.01
Co1 0.500 0.000 0.500  2.04
In1 0.000 0.500 0.500  0.00

Computed properties:
ΔE_f (raw)   274 meV/atom
Raw total energy   -3.93 eV per atom
Size of the total moment   2.262 μB/cell
Crystal system   orthorhombic

---

Density functional theory data (PBE) for InCoSe2 after structural relaxation.

a = 3.672 Å, b = 4.241 Å, c = 6.155 Å
α = 81.02°, β = 90.00°, γ = 90.00°
Last column: magnetic moment on the atom in μB.
Element x y z (fractional)
Se1 0.000 0.040 0.915  0.04
Se2 0.500 0.348 0.340  0.09
Co1 0.000 0.345 0.566  1.02
In1 0.500 0.767 0.679  -0.03

Computed properties:
ΔE_f (raw)   -81 meV/atom
Raw total energy   -4.28 eV per atom
Size of the total moment   1.221 μB/cell
Crystal system   monoclinic

---

Density functional theory data (PBE) for InCoSe2 after structural relaxation.

a = 3.058 Å, b = 3.058 Å, c = 8.440 Å
α = 90.00°, β = 90.00°, γ = 90.00°
Last column: magnetic moment on the atom in μB.
Element x y z (fractional)
In1 0.500 0.500 0.750  0.00
Co1 0.500 0.500 0.250  0.43
Se1 0.000 0.000 0.079  0.01
Se2 0.000 0.000 0.421  0.01

Computed properties:
ΔE_f (raw)   112 meV/atom
Raw total energy   -4.09 eV per atom
Size of the total moment   0.445 μB/cell
Crystal system   tetragonal

---

Density functional theory data (PBE) for In3CoSe after structural relaxation.

a = 4.966 Å, b = 4.966 Å, c = 4.966 Å
α = 90.00°, β = 90.00°, γ = 90.00°
Element x y z (fractional)
Co1 0.000 0.000 0.000
In1 0.000 0.000 0.500
In2 0.500 0.000 0.000
In3 0.000 0.500 0.000
Se1 0.500 0.500 0.500

Computed properties:
ΔE_f (raw)   34 meV/atom
Raw total energy   -3.73 eV per atom
Size of the total moment   0.000 μB/cell
Crystal system   cubic
Excess energy over the best structure of this formula in the dataset   0.000 eV per atom

---

Density functional theory data (PBE) for InCoSe2 after structural relaxation.

a = 6.562 Å, b = 6.562 Å, c = 6.562 Å
α = 149.22°, β = 140.99°, γ = 50.49°
Last column: magnetic moment on the atom in μB.
Element x y z (fractional)
Co1 0.750 0.250 0.500  0.10
Se1 0.609 0.609 0.000  0.00
Se2 0.891 0.891 0.000  0.00
In1 0.250 0.750 0.500  0.00

Computed properties:
ΔE_f (raw)   -153 meV/atom
Raw total energy   -4.36 eV per atom
Size of the total moment   0.097 μB/cell
Crystal system   orthorhombic

---

Density functional theory data (PBE) for InCoSe2 after structural relaxation.

a = 7.748 Å, b = 7.748 Å, c = 7.748 Å
α = 28.11°, β = 28.11°, γ = 28.11°
Last column: magnetic moment on the atom in μB.
Element x y z (fractional)
Se1 0.211 0.211 0.211  0.04
Se2 0.022 0.022 0.022  0.00
In1 0.757 0.757 0.757  -0.01
Co1 0.510 0.510 0.510  0.43

Computed properties:
ΔE_f (raw)   -130 meV/atom
Raw total energy   -4.33 eV per atom
Size of the total moment   0.482 μB/cell
Crystal system   trigonal